The following is a GGA-PBE calculation of crystalline NdSmSc2 at its relaxed geometry, from Alexandria.

Geometry as extended XYZ:
```
4
Lattice="4.580 0.000 0.000 0.000 5.041 0.000 0.000 0.000 5.041" Properties=species:S:1:pos:R:3 pbc="T T T"
Sc 0.000 0.000 2.520
Sc 0.000 2.520 0.000
Nd 2.290 0.000 0.000
Sm 2.290 2.520 2.520
```

## Properties
The calculation puts the total energy at -5.484 eV/atom. Its energy relative to the lowest polymorph listed for this composition is 3 meV/atom. The calculated formation energy is 53.3 meV/atom.

***

The following is a GGA-PBE calculation of crystalline Pm4Y5Er3 at its relaxed geometry, from Alexandria.

Geometry as extended XYZ:
```
12
Lattice="5.919 0.000 0.000 2.959 7.626 -2.714 2.959 -0.864 9.195" Properties=species:S:1:pos:R:3 pbc="T T T"
Pm 5.919 1.642 -0.112
Pm 2.959 -0.138 5.538
Pm 8.878 6.900 0.943
Pm 5.919 5.120 6.593
Y 8.878 6.473 4.763
Y 5.919 3.381 3.240
Y 2.959 3.399 -0.172
Y 8.878 3.363 6.653
Y 2.959 0.289 1.718
Er 5.919 5.023 0.564
Er 2.959 3.381 3.240
Er 5.919 1.739 5.917
```

## Properties
The calculation puts the total energy at -5.192 eV/atom. The calculated formation energy is 225.8 meV/atom.

***

The following is a GGA-PBE calculation of crystalline Pu2Zn3Pt4 at its relaxed geometry, from Alexandria.

Geometry as extended XYZ:
```
18
Lattice="5.218 0.000 -2.044 0.000 7.494 0.000 0.238 0.000 8.289" Properties=species:S:1:pos:R:3 pbc="T T T"
Pu 0.597 4.461 1.524
Pu 4.859 3.033 4.721
Pu 2.250 0.714 5.743
Pu 3.206 6.781 0.502
Zn 0.000 0.000 0.000
Zn 2.609 3.747 -1.022
Zn 2.836 5.621 3.399
Zn 5.228 1.874 1.824
Zn 2.620 1.874 2.846
Zn 0.227 5.621 4.421
Pt 3.788 5.621 5.830
Pt 4.276 1.874 -0.607
Pt 1.667 1.874 0.415
Pt 1.180 5.621 6.852
Pt 0.993 7.297 2.534
Pt 4.463 0.198 3.711
Pt 1.854 3.549 4.733
Pt 3.601 3.945 1.512
```

## Properties
The calculation puts the total energy at -6.966 eV/atom. The calculated formation energy is -671.8 meV/atom.

***

The following is a GGA-PBE calculation of crystalline Hf2SbP2 at its relaxed geometry, from Alexandria.

Geometry as extended XYZ:
```
10
Lattice="7.461 0.000 0.000 0.000 7.461 0.000 0.000 0.000 3.338" Properties=species:S:1:pos:R:3 pbc="T T T"
Sb 0.000 0.000 0.000
Sb 3.731 3.731 0.000
Hf 1.162 4.892 1.669
Hf 4.892 6.300 1.669
Hf 6.300 2.569 1.669
Hf 2.569 1.162 1.669
P 2.733 6.464 0.000
P 6.464 4.728 0.000
P 4.728 0.997 0.000
P 0.997 2.733 0.000
```

## Properties
The calculation puts the total energy at -7.538 eV/atom. For the formation energy (no corrections), the calculation gives -0.568 eV/atom. Its energy relative to the lowest polymorph listed for this composition is 166 meV/atom.

***

Computed mass density, in the same sequence as the records: 5.487, 6.318, 14.840, 9.662 g/cm³.